Compound: SrCaBe2
Source: the Alexandria database
Functional: PBE
Structure: optimized geometry Values from VASP.

The calculated total energy is -2.38 eV/atom. The value obtained for the size of the total moment is 0.000 μB/f.u. The energy above the most stable polymorph in this dataset is 115.2 meV/atom. The calculation puts the formation energy at 0.404 eV/atom.

```
&SYSTEM
  ibrav = 0, nat = 4, ntyp = 3
/
ATOMIC_SPECIES
Be 9.01 Be.upf
Sr 87.62 Sr.upf
Ca 40.08 Ca.upf
CELL_PARAMETERS angstrom
5.563 -0.255 0.001
1.851 5.253 -0.001
-3.195 -3.258 3.192
ATOMIC_POSITIONS crystal
Be 0.910 0.910 0.000
Be 0.838 0.338 0.500
Sr 0.218 0.718 0.500
Ca 0.534 0.534 0.000
```

---

Compound: SrCaBe2
Source: the Alexandria database
Functional: PBE
Structure: optimized geometry Values from VASP.

The calculated total energy is -2.32 eV/atom. The value obtained for the size of the total moment is 0.000 μB/f.u. The energy above the most stable polymorph in this dataset is 173.7 meV/atom. The calculation puts the formation energy at 0.462 eV/atom.

```
&SYSTEM
  ibrav = 0, nat = 4, ntyp = 3
/
ATOMIC_SPECIES
Ca 40.08 Ca.upf
Be 9.01 Be.upf
Sr 87.62 Sr.upf
CELL_PARAMETERS angstrom
-3.662 -0.923 -0.354
0.293 -2.268 2.885
-1.444 2.968 7.202
ATOMIC_POSITIONS crystal
Ca 0.500 0.250 0.250
Be 0.000 0.571 0.428
Be 0.000 0.929 0.072
Sr 0.500 0.750 0.750
```

---

Compound: SrCaBe2
Source: the Alexandria database
Functional: PBE
Structure: optimized geometry Values from VASP.

The calculated total energy is -2.18 eV/atom. The value obtained for the size of the total moment is 0.000 μB/f.u. The energy above the most stable polymorph in this dataset is 314.2 meV/atom. The calculation puts the formation energy at 0.603 eV/atom.

```
&SYSTEM
  ibrav = 0, nat = 4, ntyp = 3
/
ATOMIC_SPECIES
Sr 87.62 Sr.upf
Be 9.01 Be.upf
Ca 40.08 Ca.upf
CELL_PARAMETERS angstrom
-0.272 -1.703 -4.605
1.743 -4.350 1.491
-3.977 1.932 2.153
ATOMIC_POSITIONS crystal
Sr 0.750 0.250 0.500
Be 0.250 0.750 0.500
Be 0.000 0.000 0.000
Ca 0.500 0.500 0.000
```

---

Compound: SrCaBe4
Source: the Alexandria database
Functional: PBE
Structure: optimized geometry Values from VASP.

The calculated total energy is -2.64 eV/atom. The value obtained for the size of the total moment is 0.000 μB/f.u. The calculation puts the formation energy at 0.455 eV/atom.

```
&SYSTEM
  ibrav = 0, nat = 6, ntyp = 3
/
ATOMIC_SPECIES
Ca 40.08 Ca.upf
Be 9.01 Be.upf
Sr 87.62 Sr.upf
CELL_PARAMETERS angstrom
2.762 -1.087 4.388
1.074 3.851 3.476
-2.401 0.052 4.722
ATOMIC_POSITIONS crystal
Ca 0.750 0.750 0.750
Be 0.391 0.391 0.828
Be 0.391 0.828 0.391
Be 0.828 0.391 0.391
Be 0.391 0.391 0.391
Sr 0.000 0.000 0.000
```

---

Compound: SrCaBe2
Source: the Alexandria database
Functional: PBE
Structure: optimized geometry Values from VASP.

The calculated total energy is -2.29 eV/atom. The value obtained for the size of the total moment is 0.000 μB/f.u. The energy above the most stable polymorph in this dataset is 208.3 meV/atom. The calculation puts the formation energy at 0.497 eV/atom.

```
&SYSTEM
  ibrav = 0, nat = 4, ntyp = 3
/
ATOMIC_SPECIES
Ca 40.08 Ca.upf
Sr 87.62 Sr.upf
Be 9.01 Be.upf
CELL_PARAMETERS angstrom
-3.532 -0.156 3.742
-0.056 3.641 3.640
-3.795 3.478 0.104
ATOMIC_POSITIONS crystal
Ca 0.000 0.000 0.000
Sr 0.500 0.500 0.500
Be 0.750 0.750 0.750
Be 0.250 0.250 0.250
```

---

Compound: SrCaBe2
Source: the Alexandria database
Functional: PBE
Structure: optimized geometry Values from VASP.

The calculated total energy is -2.50 eV/atom. The value obtained for the size of the total moment is 0.000 μB/f.u. The energy above the most stable polymorph in this dataset is 0.0 meV/atom. The calculation puts the formation energy at 0.289 eV/atom.

```
&SYSTEM
  ibrav = 0, nat = 4, ntyp = 3
/
ATOMIC_SPECIES
Sr 87.62 Sr.upf
Be 9.01 Be.upf
Ca 40.08 Ca.upf
CELL_PARAMETERS angstrom
-1.014 -3.803 1.488
3.416 -2.181 -3.247
4.934 -0.728 1.503
ATOMIC_POSITIONS crystal
Sr 0.500 0.791 0.792
Be 0.000 0.126 0.125
Be 0.500 0.123 0.126
Ca 0.000 0.460 0.458
```

---

Compound: SrCaBe3
Source: the Alexandria database
Functional: PBE
Structure: optimized geometry Values from VASP.

The calculated total energy is -1.67 eV/atom. The value obtained for the size of the total moment is 0.000 μB/f.u. The energy above the most stable polymorph in this dataset is 0.0 meV/atom. The calculation puts the formation energy at 1.302 eV/atom.

```
&SYSTEM
  ibrav = 0, nat = 5, ntyp = 3
/
ATOMIC_SPECIES
Be 9.01 Be.upf
Ca 40.08 Ca.upf
Sr 87.62 Sr.upf
CELL_PARAMETERS angstrom
5.190 0.000 0.000
0.000 5.190 0.000
0.000 0.000 5.190
ATOMIC_POSITIONS crystal
Be 0.000 0.000 0.500
Be 0.000 0.500 0.000
Be 0.500 0.000 0.000
Ca 0.000 0.000 0.000
Sr 0.500 0.500 0.500
```

---

Compound: SrCaBe2
Source: the Alexandria database
Functional: PBE
Structure: optimized geometry Values from VASP.

The calculated total energy is -2.45 eV/atom. The value obtained for the size of the total moment is 0.001 μB/f.u. The energy above the most stable polymorph in this dataset is 45.5 meV/atom. The calculation puts the formation energy at 0.334 eV/atom.

```
&SYSTEM
  ibrav = 0, nat = 4, ntyp = 3
/
ATOMIC_SPECIES
Sr 87.62 Sr.upf
Be 9.01 Be.upf
Ca 40.08 Ca.upf
CELL_PARAMETERS angstrom
-2.487 -3.711 3.342
-0.700 -5.531 0.205
3.305 -4.682 4.599
ATOMIC_POSITIONS crystal
Sr 0.250 0.250 0.250
Be 0.005 0.005 0.790
Be 0.495 0.495 0.710
Ca 0.750 0.750 0.750
```

---

Compound: SrCaBe2
Source: the Alexandria database
Functional: PBE
Structure: optimized geometry Values from VASP.

The calculated total energy is -2.28 eV/atom. The value obtained for the size of the total moment is 0.000 μB/f.u. The energy above the most stable polymorph in this dataset is 211.6 meV/atom. The calculation puts the formation energy at 0.500 eV/atom.

```
&SYSTEM
  ibrav = 0, nat = 4, ntyp = 3
/
ATOMIC_SPECIES
Ca 40.08 Ca.upf
Be 9.01 Be.upf
Sr 87.62 Sr.upf
CELL_PARAMETERS angstrom
3.297 0.000 0.000
0.000 3.296 0.000
0.000 0.000 8.636
ATOMIC_POSITIONS crystal
Ca 0.000 0.000 0.418
Be 0.000 0.000 0.086
Be 0.500 0.500 0.174
Sr 0.500 0.500 0.822
```

---

Compound: SrCaBe2
Source: the Alexandria database
Functional: PBE
Structure: optimized geometry Values from VASP.

The calculated total energy is -2.28 eV/atom. The value obtained for the size of the total moment is 0.000 μB/f.u. The energy above the most stable polymorph in this dataset is 212.5 meV/atom. The calculation puts the formation energy at 0.501 eV/atom.

```
&SYSTEM
  ibrav = 0, nat = 4, ntyp = 3
/
ATOMIC_SPECIES
Be 9.01 Be.upf
Sr 87.62 Sr.upf
Ca 40.08 Ca.upf
CELL_PARAMETERS angstrom
8.154 -0.012 -0.026
-3.276 4.011 -0.001
1.601 1.298 2.938
ATOMIC_POSITIONS crystal
Be 0.000 0.000 0.000
Be 0.500 0.000 0.500
Sr 0.500 0.500 0.000
Ca 0.000 0.500 0.500
```

---

Compound: SrCaBe2
Source: the Alexandria database
Functional: PBE
Structure: optimized geometry Values from VASP.

The calculated total energy is -1.90 eV/atom. The value obtained for the size of the total moment is 0.000 μB/f.u. The energy above the most stable polymorph in this dataset is 592.4 meV/atom. The calculation puts the formation energy at 0.881 eV/atom.

```
&SYSTEM
  ibrav = 0, nat = 8, ntyp = 3
/
ATOMIC_SPECIES
Be 9.01 Be.upf
Ca 40.08 Ca.upf
Sr 87.62 Sr.upf
CELL_PARAMETERS angstrom
-7.356 -2.522 -2.178
2.937 -7.400 -1.353
-2.890 -5.837 1.548
ATOMIC_POSITIONS crystal
Be 0.875 0.857 0.750
Be 0.607 0.125 0.250
Be 0.375 0.393 0.750
Be 0.143 0.625 0.250
Ca 0.500 0.500 0.000
Ca 0.250 0.750 0.500
Sr 0.750 0.250 0.500
Sr 0.000 0.000 0.000
```

---

Compound: SrCaYBe2
Source: the Alexandria database
Functional: PBE
Structure: optimized geometry Values from VASP.

The calculated total energy is -2.10 eV/atom. The value obtained for the size of the total moment is 0.000 μB/f.u. The calculation puts the formation energy at 1.418 eV/atom.

```
&SYSTEM
  ibrav = 0, nat = 5, ntyp = 4
/
ATOMIC_SPECIES
Sr 87.62 Sr.upf
Ca 40.08 Ca.upf
Be 9.01 Be.upf
Y 88.91 Y.upf
CELL_PARAMETERS angstrom
-2.653 -1.631 -4.106
-1.952 -4.055 2.872
-3.996 2.929 1.419
ATOMIC_POSITIONS crystal
Sr 0.000 0.000 0.000
Ca 0.000 0.500 0.000
Be 0.500 0.000 0.000
Be 0.000 0.000 0.500
Y 0.500 0.500 0.500
```